No. 1
A plane-wave DFT calculation with PBE-GGA was carried out for CsPbAu3O4 after structural relaxation.

## Properties
Its total DFT energy (no corrections) is -3.808 eV/atom. Its crystal system is cubic.

a b c (Å): 5.9076 5.9076 5.9076
angles (deg): 90.00 90.00 90.00
Positions (direct):
Cs 0.0000 0.0000 0.0000
Pb 0.5000 0.5000 0.5000
Au 0.0000 0.5000 0.5000
Au 0.5000 0.0000 0.5000
Au 0.5000 0.5000 0.0000
O 0.2923 0.2923 0.2923
O 0.2923 0.7077 0.7077
O 0.7077 0.2923 0.7077
O 0.7077 0.7077 0.2923



No. 2
A plane-wave DFT calculation with PBE-GGA was carried out for CsPdAu3O4 after structural relaxation.

## Properties
Its total DFT energy (no corrections) is -3.683 eV/atom. Its crystal system is cubic.

a b c (Å): 5.6981 5.6981 5.6981
angles (deg): 90.00 90.00 90.00
Positions (direct):
Cs 0.0000 0.0000 0.0000
Pd 0.5000 0.5000 0.5000
Au 0.0000 0.5000 0.5000
Au 0.5000 0.0000 0.5000
Au 0.5000 0.5000 0.0000
O 0.2888 0.2888 0.2888
O 0.2888 0.7112 0.7112
O 0.7112 0.2888 0.7112
O 0.7112 0.7112 0.2888



Volume in Å³/cell, matching the order above: 206.2; 185.0